(1)
Crystalline OsPdPb2N at its relaxed geometry. Source: the Alexandria database, functional PBE.

Results
The theoretical density is 12427 kg/m³. The value obtained for the calculated total energy is -5.35 eV per atom. The uncorrected formation energy is 1.0790 eV per atom.

Cell lengths 4.9691, 3.9238, 4.9691 Å; angles 90.00, 90.00, 90.00 degrees
Last column: nearest neighbours and their distance in Å.
Sites, in units of the cell vectors:
1 Pb 0.0000 0.0000 0.5000  2 N 2.48
2 Pb 0.5000 0.0000 0.0000  2 N 2.48
3 Os 0.5000 0.5000 0.5000  8 Pb 3.17, 4 Pd 3.51
4 Pd 0.0000 0.5000 0.0000  2 N 1.96
5 N 0.0000 0.0000 0.0000  2 Pd 1.96

***

(2)
Crystalline Hf3H3Os at its relaxed geometry. Source: the Alexandria database, functional PBE.

Results
The theoretical density is 12884 kg/m³. The value obtained for the calculated total energy is -7.56 eV per atom.

Cell lengths 5.8003, 5.8003, 7.2649 Å; angles 66.47, 66.47, 60.00 degrees
Last column: nearest neighbours and their distance in Å.
Sites, in units of the cell vectors:
1 Hf 0.2315 0.5835 0.2741  4 H 2.06-2.13
2 Hf 0.9109 0.2315 0.2741  4 H 2.06-2.13
3 Hf 0.5835 0.9109 0.2741  4 H 2.06-2.13
4 Hf 0.4165 0.0891 0.7259  4 H 2.06-2.13
5 Hf 0.0891 0.7685 0.7259  4 H 2.06-2.13
6 Hf 0.7685 0.4165 0.7259  4 H 2.06-2.13
7 H 0.4795 0.7906 0.5936  4 Hf 2.06-2.13, 2 H 2.25
8 H 0.7906 0.1363 0.5936  4 Hf 2.06-2.13, 2 H 2.25
9 H 0.1363 0.4795 0.5936  4 Hf 2.06-2.13, 2 H 2.25
10 H 0.8637 0.5205 0.4064  4 Hf 2.06-2.13, 2 H 2.25
11 H 0.2094 0.8637 0.4064  4 Hf 2.06-2.13, 2 H 2.25
12 H 0.5205 0.2094 0.4064  4 Hf 2.06-2.13, 2 H 2.25
13 Os 0.3340 0.3340 0.9980  6 Hf 2.64
14 Os 0.6660 0.6660 0.0020  6 Hf 2.64

***

(3)
Crystalline NpIn2CuO8 at its relaxed geometry. Source: the Alexandria database, functional PBE.

Results
The theoretical density is 6887 kg/m³. The value obtained for the calculated total energy is -6.79 eV per atom. The uncorrected formation energy is -1.6054 eV per atom.

Cell lengths 4.9290, 4.8685, 6.6909 Å; angles 84.39, 95.19, 94.70 degrees
Last column: nearest neighbours and their distance in Å.
Sites, in units of the cell vectors:
1 Np 0.0000 0.0000 0.0000  4 O 1.87-2.03
2 In 0.4623 0.5379 0.7317  6 O 2.14-2.35
3 In 0.5377 0.4621 0.2683  6 O 2.14-2.35
4 Cu 0.0000 0.0000 0.5000  4 O 1.86-1.91
5 O 0.1924 0.7696 0.1938  1 Np 1.87
6 O 0.6769 0.7134 0.9980  1 Np 2.03, 2 In 2.20-2.21
7 O 0.8529 0.1736 0.2596  1 Cu 1.86
8 O 0.8076 0.2304 0.8062  1 Np 1.87
9 O 0.3231 0.2866 0.0020  1 Np 2.03, 2 In 2.20-2.21
10 O 0.1471 0.8264 0.7404  1 Cu 1.86
11 O 0.6971 0.7281 0.4946  1 Cu 1.91, 2 In 2.14
12 O 0.3029 0.2719 0.5054  1 Cu 1.91, 2 In 2.14

***

(4)
Crystalline CeHoFeCu at its relaxed geometry. Source: the Alexandria database, functional PBE.

Results
The energy of formation comes out at -0.001 eV/atom. The theoretical density is 8784 kg/m³. The value obtained for the calculated total energy is -5.77 eV per atom.

Cell lengths 4.8414, 4.8414, 4.8414 Å; angles 60.00, 60.00, 60.00 degrees
Last column: nearest neighbours and their distance in Å.
Sites, in units of the cell vectors:
1 Cu 0.7500 0.7500 0.7500  4 Ce 2.96, 4 Ho 2.96
2 Ho 0.0000 0.0000 0.0000  4 Fe 2.96, 4 Cu 2.96
3 Ce 0.5000 0.5000 0.5000  4 Fe 2.96, 4 Cu 2.96
4 Fe 0.2500 0.2500 0.2500  4 Ce 2.96, 4 Ho 2.96